VASP calculation (GGA-PBE) on a relaxed structure of Co2Si.

## Properties
As for the space-group type: Pnma (62). As for the formation energy without anion corrections: -0.455 eV/atom. The value obtained for the calculated total energy is -6.9999 eV/atom.

```
data_Co2Si
_cell_length_a 4.884
_cell_length_b 3.714
_cell_length_c 7.039
_cell_angle_alpha 90.00
_cell_angle_beta 90.00
_cell_angle_gamma 90.00
_symmetry_space_group_name_H-M 'P 1'
_symmetry_Int_Tables_number 1
_symmetry_space_group_name_Hall 'P 1'
loop_
_atom_site_label
_atom_site_type_symbol
_atom_site_fract_x
_atom_site_fract_y
_atom_site_fract_z
_atom_site_occupancy
Co1 Co 0.036 0.250 0.218 1
Co2 Co 0.174 0.250 0.565 1
Co3 Co 0.326 0.750 0.065 1
Co4 Co 0.464 0.750 0.718 1
Co5 Co 0.536 0.250 0.282 1
Co6 Co 0.674 0.250 0.935 1
Co7 Co 0.826 0.750 0.435 1
Co8 Co 0.964 0.750 0.782 1
Si1 Si 0.203 0.250 0.894 1
Si2 Si 0.297 0.750 0.394 1
Si3 Si 0.703 0.250 0.606 1
Si4 Si 0.797 0.750 0.106 1
```